[1]
A plane-wave DFT calculation with PBE was carried out for a geometry-optimized MnV2Pd9 structure.

Cell lengths 3.9012, 3.9012, 11.7368 Å; angles 90.00, 90.00, 90.00 degrees
Last column: magnetic moment on the atom in μB.
Positions (direct):
Pd1 0.5000 0.5000 0.6635  -0.05
Pd2 0.5000 0.0000 0.8276  0.01
Pd3 0.0000 0.5000 0.5000  -0.06
Pd4 0.0000 0.5000 0.8276  0.01
Mn1 0.0000 0.0000 0.0000  3.98
Pd5 0.5000 0.5000 0.3365  -0.05
Pd6 0.5000 0.0000 0.1724  0.01
Pd7 0.5000 0.5000 0.0000  0.12
V1 0.0000 0.0000 0.3285  0.88
Pd8 0.0000 0.5000 0.1724  0.01
Pd9 0.5000 0.0000 0.5000  -0.06
V2 0.0000 0.0000 0.6715  0.88

Space group ... P4/mmm, No. 123
Energy of formation ... -289 kJ/mol of formula units

[2]
A plane-wave DFT calculation with PBE was carried out for a geometry-optimized MnV6Pd12 structure.

Cell lengths 6.5597, 6.5597, 6.5597 Å; angles 88.15, 88.15, 88.15 degrees
Last column: magnetic moment on the atom in μB.
Positions (direct):
V1 0.7334 0.8899 0.2537  0.56
Pd1 0.5320 0.4307 0.8017  0.02
V2 0.2666 0.1101 0.7463  0.56
Pd2 0.0261 0.1527 0.3679  0.02
V3 0.1101 0.7463 0.2666  0.56
Pd3 0.4307 0.8017 0.5320  0.02
Pd4 0.1983 0.4680 0.5693  0.02
Pd5 0.8473 0.6321 0.9739  0.02
V4 0.8899 0.2537 0.7334  0.56
Pd6 0.9739 0.8473 0.6321  0.02
Pd7 0.5693 0.1983 0.4680  0.02
Mn1 0.0000 0.0000 0.0000  -1.10
Pd8 0.8017 0.5320 0.4307  0.02
Pd9 0.6321 0.9739 0.8473  0.02
V5 0.7463 0.2666 0.1101  0.56
Pd10 0.1527 0.3679 0.0261  0.02
Pd11 0.4680 0.5693 0.1983  0.02
V6 0.2537 0.7334 0.8899  0.56
Pd12 0.3679 0.0261 0.1527  0.02

Space group ... R-3, No. 148
Energy of formation ... -245 kJ/mol of formula units

[3]
A plane-wave DFT calculation with PBE was carried out for a geometry-optimized Mn2VPd8 structure.

Cell lengths 4.1369, 6.5676, 6.5676 Å; angles 105.47, 89.97, 89.97 degrees
Last column: magnetic moment on the atom in μB.
Positions (direct):
Pd1 0.5000 0.7538 0.2462  0.12
Pd2 0.0001 0.9588 0.6958  0.05
Pd3 0.9999 0.0412 0.3042  0.05
Mn1 0.0000 0.3755 0.6245  3.62
Pd4 0.5002 0.6693 0.6693  0.08
Pd5 0.4998 0.3307 0.3307  0.08
Mn2 0.0000 0.6245 0.3755  3.62
Pd6 0.9999 0.3042 0.0412  0.05
V1 0.5000 0.0000 0.0000  -1.21
Pd7 0.0001 0.6958 0.9588  0.05
Pd8 0.5000 0.2462 0.7538  0.12

E above lowest polymorph ... 158.3 meV/atom
Space group ... Cmmm, No. 65
Energy of formation ... -67 kJ/mol of formula units